(1)
A relaxed structure of SeIN2, computed with PBE-GGA.

The structure in extended XYZ format:
```
4
Lattice="1.786 1.031 6.489 -1.786 1.031 6.489 0.000 -2.062 6.489" Properties=species:S:1:pos:R:3 pbc="T T T"
Se 0.000 0.000 0.000
I 0.000 0.000 9.733
N 0.000 0.000 1.975
N 0.000 0.000 17.491
```

* energy above the lowest structure with this stoichiometry: 243 meV/atom
* crystal system: trigonal
* raw formation energy: 1.7169 eV per atom
* space-group type: R-3m (166)
* volume: 17.9 Å³/atom

(2)
A relaxed structure of Ba2MgIr, computed with PBE-GGA.

The structure in extended XYZ format:
```
4
Lattice="3.912 -2.252 0.000 3.912 2.252 0.000 -2.573 0.000 9.248" Properties=species:S:1:pos:R:3 pbc="T T T"
Ba 1.307 0.000 1.658
Ba 3.945 0.000 7.590
Mg -1.286 0.000 4.624
Ir 3.912 0.000 0.000
```

* crystal system: monoclinic
* space-group type: C2/m (12)
* total energy: -3.46 eV per atom
* volume: 40.7 Å³/atom

(3)
A relaxed structure of SbAsCl2, computed with PBE-GGA.

The structure in extended XYZ format:
```
4
Lattice="3.280 0.000 0.000 0.000 4.735 0.000 0.000 0.000 5.710" Properties=species:S:1:pos:R:3 pbc="T T T"
Sb 0.000 0.000 0.000
As 1.640 0.000 2.855
Cl 0.000 2.368 2.855
Cl 1.640 2.368 0.000
```

* energy above the lowest structure with this stoichiometry: 478 meV/atom
* crystal system: orthorhombic
* raw formation energy: 0.0428 eV per atom
* space-group type: Pmmm (47)
* volume: 22.2 Å³/atom

(4)
A relaxed structure of Na3Li3Cd5, computed with PBE-GGA.

The structure in extended XYZ format:
```
11
Lattice="5.835 0.000 0.000 -1.907 7.004 0.000 -0.744 -3.793 6.441" Properties=species:S:1:pos:R:3 pbc="T T T"
Na 0.000 0.000 0.000
Na -0.987 0.824 3.358
Na 3.152 4.340 2.680
Li 0.325 3.205 1.786
Li 0.684 -0.905 5.354
Li 2.781 1.290 1.099
Cd 0.947 5.365 0.037
Cd 2.021 -0.993 2.709
Cd 0.332 3.917 4.687
Cd 1.930 1.571 3.981
Cd 3.528 -0.452 5.992
```

* crystal system: triclinic
* space-group type: P1 (1)
* total energy: -1.42 eV per atom
* volume: 23.9 Å³/atom

(5)
A relaxed structure of RbAg2HF6, computed with PBE-GGA.

The structure in extended XYZ format:
```
20
Lattice="5.913 -5.418 0.000 5.913 5.418 0.000 -3.002 0.000 5.380" Properties=species:S:1:pos:R:3 pbc="T T T"
Rb 3.662 3.384 4.035
Rb 5.163 -3.384 1.345
Ag 0.354 0.803 5.073
Ag 1.855 -0.803 2.383
Ag 6.970 0.803 2.998
Ag 8.471 -0.803 0.308
H 5.163 2.294 1.345
H 3.662 -2.294 4.035
F 1.446 0.421 0.621
F 4.018 2.314 1.208
F -0.055 -0.421 3.311
F 2.049 1.174 3.980
F 6.308 2.314 1.482
F 3.550 -1.174 1.290
F 5.275 1.174 4.090
F 2.517 -2.314 3.898
F 6.776 -1.174 1.400
F 8.880 0.421 2.069
F 4.807 -2.314 4.172
F 7.379 -0.421 4.759
```

* crystal system: monoclinic
* space-group type: C2/c (15)
* total energy: -3.68 eV per atom
* volume: 17.2 Å³/atom

(6)
A relaxed structure of CrMoN, computed with PBE-GGA.

The structure in extended XYZ format:
```
3
Lattice="2.979 0.000 0.000 -1.490 2.580 0.000 0.000 0.000 4.439" Properties=species:S:1:pos:R:3 pbc="T T T"
Cr 0.000 0.000 0.000
Mo 0.000 1.720 2.257
N 1.490 0.860 3.536
```

* energy above the lowest structure with this stoichiometry: 0 meV/atom
* crystal system: trigonal
* raw formation energy: -0.1696 eV per atom
* space-group type: P3m1 (156)
* volume: 11.4 Å³/atom